1.
First-principles (GGA-PBE) data for an optimized crystal structure of CaLaIn2Os, as listed in the Alexandria database.

Unit cell a=5.228 b=5.228 c=5.294 alpha=90.00 beta=90.00 gamma=90.00
Space group P4/mmm (No. 123)
Inequivalent atoms, fractional coordinates:
Ca 0.000 0.000 0.000
La 0.500 0.500 0.000
In 0.000 0.500 0.500
Os 0.000 0.000 0.500

Summary:
calculated density = 6.874 g/cm3
uncorrected energy = -4.6462 eV per atom

2.
First-principles (GGA-PBE) data for an optimized crystal structure of SrLi2Fe, as listed in the Alexandria database.

Unit cell a=7.878 b=4.563 c=6.134 alpha=90.00 beta=115.56 gamma=90.00
Space group Cm (No. 8)
Inequivalent atoms, fractional coordinates:
Sr 0.000 0.000 0.000
Li 0.193 0.000 0.579
Li 0.483 0.000 0.450
Fe 0.298 0.500 0.395

Summary:
calculated density = 2.627 g/cm3
polymorph energy (0 for the lowest one) = 10 meV per atom

3.
First-principles (GGA-PBE) data for an optimized crystal structure of Nd2Al3GeAu4, as listed in the Alexandria database.

Unit cell a=4.453 b=4.453 c=10.445 alpha=90.00 beta=90.00 gamma=90.00
Space group P-4m2 (No. 115)
Inequivalent atoms, fractional coordinates:
Nd 0.000 0.500 0.250
Al 0.000 0.000 0.000
Al 0.000 0.500 0.628
Ge 0.500 0.500 0.000
Au 0.000 0.000 0.500
Au 0.000 0.500 0.868
Au 0.500 0.500 0.500

Summary:
calculated density = 9.859 g/cm3
uncorrected energy = -4.5314 eV per atom

4.
First-principles (GGA-PBE) data for an optimized crystal structure of KMn, as listed in the Alexandria database.

Unit cell a=3.4664 b=3.4664 c=11.9563 alpha=90.00 beta=90.00 gamma=120.00
Space group P-3m1 (No. 164)
Inequivalent atoms, fractional coordinates:
K 0.3333 0.6667 0.1726
Mn 0.3333 0.6667 0.5770

Summary:
calculated density = 2.510 g/cm3
polymorph energy (0 for the lowest one) = 238 meV per atom

> The highest calculated density belongs to which entry?

Nd2Al3GeAu4

Copy entry 2 word for word.
First-principles (GGA-PBE) data for an optimized crystal structure of SrLi2Fe, as listed in the Alexandria database.

Unit cell a=7.878 b=4.563 c=6.134 alpha=90.00 beta=115.56 gamma=90.00
Space group Cm (No. 8)
Inequivalent atoms, fractional coordinates:
Sr 0.000 0.000 0.000
Li 0.193 0.000 0.579
Li 0.483 0.000 0.450
Fe 0.298 0.500 0.395

Summary:
calculated density = 2.627 g/cm3
polymorph energy (0 for the lowest one) = 10 meV per atom

> Among the records above, which one has the lowest calculated density?

KMn